KCoI2O | PBE+U | relaxed

Output
density	3.53	g/cm3
symmetry	P4/mmm (123)
volume	34.6	A^3/atom
energy relative to the lowest polymorph listed for this composition	1402	meV/atom

The structure in POSCAR format:
```
KCoI2O
1.0
6.293 0.000 0.000
0.000 6.293 0.000
0.000 0.000 4.370
O Co K I
1 1 1 2
Direct
0.000 0.000 0.500
0.500 0.500 0.500
0.000 0.000 0.000
0.000 0.500 0.000
0.500 0.000 0.000
```